The following is a PBE-GGA calculation of crystalline KSnS2 at its relaxed geometry, from the Alexandria database.

Values from the calculation:
Formation energy (no corrections) (eV per atom): -0.684
Symmetry: I-42d (122)

Cell lengths 6.911, 6.911, 11.972 Å; angles 90.00, 90.00, 90.00 degrees
Element x y z (fractional)
K1 0.000 0.000 0.000
K2 0.000 0.500 0.250
K3 0.500 0.000 0.750
K4 0.500 0.500 0.500
Sn1 0.000 0.000 0.500
Sn2 0.000 0.500 0.750
Sn3 0.500 0.000 0.250
Sn4 0.500 0.500 0.000
S1 0.172 0.250 0.625
S2 0.250 0.672 0.875
S3 0.250 0.828 0.375
S4 0.328 0.250 0.125
S5 0.672 0.750 0.125
S6 0.750 0.172 0.375
S7 0.750 0.328 0.875
S8 0.828 0.750 0.625